[1]
DFT (GGA-PBE) results for Ca2Ac3La6 after structural relaxation.

Results
electronic total energy	-42.76	eV for the cell shown
density	5.64	g/cm³
E_form	284.4	meV per atom

Unit cell a=9.6832 b=9.6832 c=5.7791 alpha=90.00 beta=90.00 gamma=120.00
Space group P-62m (No. 189)
Unique sites:
Ca 0.3333 0.6667 0.0000 x2
Ac 0.0000 0.5596 0.5000 x3
La 0.0000 0.2144 0.5000 x3
La 0.0000 0.7819 0.0000 x3

=====

[2]
DFT (GGA-PBE) results for CaAcLa2 after structural relaxation.

Results
electronic total energy	-31.74	eV for the cell shown
E above lowest polymorph	0	meV/atom
density	5.66	g/cm³
E_form	23.5	meV per atom

Unit cell a=6.670 b=3.846 c=12.673 alpha=90.00 beta=100.33 gamma=90.00
Space group P2_1/m (No. 11)
Unique sites:
Ca 0.123 0.250 0.127 x2
Ac 0.379 0.250 0.870 x2
La 0.039 0.750 0.380 x2
La 0.452 0.750 0.618 x2

=====

[3]
DFT (GGA-PBE) results for CaAcLa4 after structural relaxation.

Results
electronic total energy	-99.71	eV for the cell shown
E above lowest polymorph	111	meV/atom
density	5.69	g/cm³
E_form	148.8	meV per atom

Unit cell a=9.865 b=9.865 c=9.865 alpha=90.00 beta=90.00 gamma=90.00
Space group F-43m (No. 216)
Unique sites:
Ca 0.000 0.000 0.000 x4
Ac 0.250 0.250 0.750 x4
La 0.122 0.122 0.378 x16

=====

[4]
DFT (GGA-PBE) results for CaAc4La3 after structural relaxation.

Results
electronic total energy	-64.57	eV for the cell shown
density	6.71	g/cm³
E_form	116.9	meV per atom

Unit cell a=3.753 b=12.564 c=14.338 alpha=90.00 beta=90.00 gamma=90.00
Space group Immm (No. 71)
Unique sites:
Ca 0.000 0.000 0.000 x2
Ac 0.000 0.250 0.133 x8
La 0.000 0.000 0.500 x2
La 0.000 0.500 0.257 x4

=====

[5]
DFT (GGA-PBE) results for CaAcLa3 after structural relaxation.

Results
electronic total energy	-81.08	eV for the cell shown
E above lowest polymorph	16	meV/atom
density	5.64	g/cm³
E_form	124.6	meV per atom

Unit cell a=6.170 b=17.443 c=7.480 alpha=90.00 beta=90.00 gamma=90.00
Space group Cmcm (No. 63)
Unique sites:
Ca 0.000 0.113 0.250 x4
Ac 0.000 0.488 0.250 x4
La 0.000 0.130 0.750 x4
La 0.000 0.308 0.002 x8

=====

[6]
DFT (GGA-PBE) results for CaAc4La7 after structural relaxation.

Results
electronic total energy	-52.55	eV for the cell shown
density	6.60	g/cm³
E_form	31.6	meV per atom

Unit cell a=6.721 b=7.699 c=9.599 alpha=90.19 beta=103.36 gamma=90.10
Space group P-1 (No. 2)
Unique sites:
Ca 0.000 0.000 0.000 x1
Ac 0.223 0.498 0.674 x2
Ac 0.283 0.249 0.331 x2
La 0.000 0.500 0.000 x1
La 0.224 0.000 0.659 x2
La 0.282 0.747 0.331 x2
La 0.498 0.749 0.004 x2

=====

[7]
DFT (GGA-PBE) results for CaAc14La after structural relaxation.

Results
electronic total energy	-128.53	eV for the cell shown
density	7.84	g/cm³
E_form	11.5	meV per atom

Unit cell a=11.274 b=11.231 c=11.231 alpha=90.00 beta=90.00 gamma=90.00
Space group Amm2 (No. 38)
Unique sites:
Ca 0.000 0.000 0.000 x2
Ac 0.000 0.249 0.750 x4
Ac 0.248 0.000 0.252 x4
Ac 0.249 0.000 0.747 x4
Ac 0.249 0.247 0.500 x8
Ac 0.500 0.000 0.000 x2
Ac 0.500 0.000 0.500 x2
Ac 0.500 0.249 0.250 x4
La 0.000 0.000 0.500 x2

=====

[8]
DFT (GGA-PBE) results for Ca2Ac12La7 after structural relaxation.

Results
electronic total energy	-86.88	eV for the cell shown
density	7.05	g/cm³
E_form	43.6	meV per atom

Unit cell a=16.2621 b=16.2621 c=3.8861 alpha=90.00 beta=90.00 gamma=120.00
Space group P-6 (No. 174)
Unique sites:
Ca 0.0000 0.0000 0.0000 x1
Ca 0.3333 0.6667 0.5000 x1
Ac 0.0508 0.7977 0.5000 x3
Ac 0.1254 0.4153 0.0000 x3
Ac 0.4152 0.2594 0.0000 x3
Ac 0.4993 0.0964 0.5000 x3
La 0.0988 0.6229 0.0000 x3
La 0.2328 0.0453 0.5000 x3
La 0.6667 0.3333 0.0000 x1

=====

[9]
DFT (GGA-PBE) results for Ca17Ac2La2 after structural relaxation.

Results
electronic total energy	-98.69	eV for the cell shown
density	2.59	g/cm³
E_form	131.1	meV per atom

Unit cell a=12.447 b=14.601 c=10.408 alpha=90.00 beta=106.74 gamma=90.00
Space group Cm (No. 8)
Unique sites:
Ca 0.000 0.000 0.000 x2
Ca 0.021 0.363 0.846 x4
Ca 0.033 0.000 0.398 x2
Ca 0.143 0.188 0.182 x4
Ca 0.221 0.500 0.736 x2
Ca 0.223 0.202 0.600 x4
Ca 0.237 0.000 0.813 x2
Ca 0.324 0.272 0.973 x4
Ca 0.427 0.251 0.362 x4
Ca 0.428 0.000 0.150 x2
Ca 0.461 0.369 0.689 x4
Ac 0.245 0.500 0.119 x2
Ac 0.400 0.000 0.503 x2
La 0.182 0.397 0.396 x4

=====

[10]
DFT (GGA-PBE) results for Ca2Ac6La5 after structural relaxation.

Results
electronic total energy	-103.71	eV for the cell shown
density	6.52	g/cm³
E_form	110.6	meV per atom

Unit cell a=12.754 b=22.114 c=3.859 alpha=90.00 beta=90.00 gamma=90.00
Space group Pbam (No. 55)
Unique sites:
Ca 0.167 0.211 0.000 x4
Ac 0.053 0.919 0.000 x4
Ac 0.082 0.632 0.000 x4
Ac 0.183 0.369 0.500 x4
La 0.000 0.500 0.500 x2
La 0.088 0.773 0.500 x4
La 0.204 0.049 0.500 x4

=====

[11]
DFT (GGA-PBE) results for CaAc2La after structural relaxation.

Results
electronic total energy	-59.17	eV for the cell shown
E above lowest polymorph	71	meV/atom
density	6.19	g/cm³
E_form	88.6	meV per atom

Unit cell a=8.791 b=8.791 c=8.791 alpha=90.00 beta=90.00 gamma=90.00
Space group Fm-3m (No. 225)
Unique sites:
Ca 0.000 0.000 0.000 x4
Ac 0.250 0.250 0.250 x8
La 0.000 0.000 0.500 x4

=====

[12]
DFT (GGA-PBE) results for CaAcLa after structural relaxation.

Results
electronic total energy	-21.91	eV for the cell shown
E above lowest polymorph	6	meV/atom
density	5.43	g/cm³
E_form	28.3	meV per atom

Unit cell a=3.888 b=5.462 c=11.687 alpha=90.00 beta=90.02 gamma=90.00
Space group P2_1/m (No. 11)
Unique sites:
Ca 0.249 0.250 0.085 x2
Ac 0.251 0.250 0.741 x2
La 0.249 0.250 0.423 x2

=====

[13]
DFT (GGA-PBE) results for Ca4AcLa after structural relaxation.

Results
electronic total energy	-63.22	eV for the cell shown
E above lowest polymorph	169	meV/atom
density	3.33	g/cm³
E_form	206.0	meV per atom

Unit cell a=10.166 b=10.166 c=10.166 alpha=90.00 beta=90.00 gamma=90.00
Space group F-43m (No. 216)
Unique sites:
Ca 0.125 0.125 0.125 x16
Ac 0.250 0.250 0.750 x4
La 0.000 0.000 0.500 x4

=====

[14]
DFT (GGA-PBE) results for CaAcLa4 after structural relaxation.

Results
electronic total energy	-51.18	eV for the cell shown
E above lowest polymorph	0	meV/atom
density	5.80	g/cm³
E_form	38.0	meV per atom

Unit cell a=18.766 b=3.816 c=6.621 alpha=90.00 beta=96.80 gamma=90.00
Space group C2/m (No. 12)
Unique sites:
Ca 0.000 0.000 0.000 x2
Ac 0.000 0.500 0.500 x2
La 0.168 0.000 0.395 x4
La 0.172 0.500 0.882 x4

=====

[15]
DFT (GGA-PBE) results for CaAc8La5 after structural relaxation.

Results
electronic total energy	-113.23	eV for the cell shown
density	7.00	g/cm³
E_form	206.4	meV per atom

Unit cell a=10.473 b=10.473 c=11.026 alpha=90.00 beta=90.00 gamma=90.00
Space group I-4 (No. 82)
Unique sites:
Ca 0.000 0.000 0.000 x2
Ac 0.071 0.174 0.347 x8
Ac 0.087 0.322 0.005 x8
La 0.000 0.500 0.250 x2
La 0.103 0.298 0.677 x8

=====

[16]
DFT (GGA-PBE) results for Ca3Ac4La after structural relaxation.

Results
electronic total energy	-54.17	eV for the cell shown
density	5.70	g/cm³
E_form	34.8	meV per atom

Unit cell a=7.818 b=11.117 c=7.825 alpha=90.00 beta=90.00 gamma=90.00
Space group Pmn2_1 (No. 31)
Unique sites:
Ca 0.000 0.000 0.000 x2
Ca 0.250 0.253 0.250 x4
Ac 0.000 0.000 0.500 x2
Ac 0.000 0.500 0.500 x2
Ac 0.250 0.254 0.750 x4
La 0.000 0.500 0.000 x2

=====

[17]
DFT (GGA-PBE) results for CaAc4La8 after structural relaxation.

Results
electronic total energy	-55.14	eV for the cell shown
density	6.41	g/cm³
E_form	209.2	meV per atom

Unit cell a=7.085 b=7.174 c=11.515 alpha=90.22 beta=90.23 gamma=114.28
Space group P-1 (No. 2)
Unique sites:
Ca 0.000 0.000 0.000 x1
Ac 0.000 0.000 0.500 x1
Ac 0.000 0.500 0.000 x1
Ac 0.500 0.000 0.000 x1
Ac 0.500 0.500 0.500 x1
La 0.235 0.759 0.701 x2
La 0.243 0.767 0.299 x2
La 0.290 0.289 0.216 x2
La 0.290 0.289 0.785 x2

=====

[18]
DFT (GGA-PBE) results for Ca4Ac3La after structural relaxation.

Results
electronic total energy	-50.26	eV for the cell shown
density	4.76	g/cm³
E_form	16.4	meV per atom

Unit cell a=5.555 b=11.120 c=11.076 alpha=90.00 beta=90.00 gamma=90.00
Space group Pmmn (No. 59, origin choice 2)
Unique sites:
Ca 0.250 0.002 0.125 x4
Ca 0.250 0.250 0.877 x2
Ca 0.250 0.750 0.874 x2
Ac 0.250 0.501 0.620 x4
Ac 0.250 0.750 0.381 x2
La 0.250 0.250 0.385 x2

=====

[19]
DFT (GGA-PBE) results for CaAcLa after structural relaxation.

Results
electronic total energy	-10.57	eV for the cell shown
E above lowest polymorph	134	meV/atom
density	5.39	g/cm³
E_form	156.3	meV per atom

Unit cell a=6.2254 b=6.2254 c=3.7291 alpha=90.00 beta=90.00 gamma=120.00
Space group P-6m2 (No. 187)
Unique sites:
Ca 0.0000 0.0000 0.0000 x1
Ac 0.3333 0.6667 0.5000 x1
La 0.6667 0.3333 0.5000 x1

=====

[20]
DFT (GGA-PBE) results for Ca4Ac5La after structural relaxation.

Results
electronic total energy	-32.93	eV for the cell shown
density	5.57	g/cm³
E_form	55.0	meV per atom

Unit cell a=4.273 b=4.273 c=23.428 alpha=90.00 beta=90.00 gamma=90.00
Space group P4/mmm (No. 123)
Unique sites:
Ca 0.000 0.000 0.098 x2
Ca 0.000 0.000 0.296 x2
Ac 0.500 0.500 0.000 x1
Ac 0.500 0.500 0.196 x2
Ac 0.500 0.500 0.397 x2
La 0.000 0.000 0.500 x1

=====

N(E_F) (computed, states/eV per atom): 1.673 1.487 1.585 1.659 1.594 1.501 1.662 1.534 1.289 1.522 1.731 1.600 2.077 1.517 1.612 1.438 1.928 1.346 2.363 1.388
Total magnetization (computed, Bohr magnetons per cell): 0.0 0.0 0.0 0.0 0.0 0.0 0.0 0.0 0.0 0.0 0.0 0.0 9.8 0.0 0.0 0.0 0.0 0.0 0.1 0.0